(1)
PBE LuCdInS3, relaxed; energy = -26.86 eV/f.u.; total moment = 0.001 μB/atom; space-group type = Cmcm, No. 63; theoretical density = 5.52 Mg/m³
1.0
-5.220 -4.039 -3.278
-2.998 -6.619 -1.223
-6.313 1.297 8.456
S Cd In Lu
6 2 2 2
direct
0.628 0.628 0.528
0.372 0.372 0.472
0.950 0.950 0.750
0.050 0.050 0.250
0.372 0.372 0.028
0.628 0.628 0.972
0.422 0.422 0.250
0.578 0.578 0.750
0.708 0.708 0.250
0.292 0.292 0.750
0.000 0.000 0.000
0.000 0.000 0.500

***

(2)
PBE BaHo2, relaxed; energy = -10.04 eV/f.u.; total moment = 0.250 μB/atom; space-group type = Fd-3m, No. 227; theoretical density = 6.27 Mg/m³
1.0
5.183 2.186 4.242
-0.900 -0.072 6.987
3.513 -4.652 3.956
Ba Ho
2 4
direct
0.000 0.000 0.000
0.250 0.250 0.250
0.625 0.625 0.125
0.625 0.125 0.625
0.625 0.625 0.625
0.125 0.625 0.625

***

(3)
PBE Pr2O3, relaxed; energy = -39.91 eV/f.u.; total moment = 0.000 μB/atom; space-group type = P-62m, No. 189; theoretical density = 5.09 Mg/m³
1.0
-0.242 4.514 -4.243
0.380 -5.923 -1.793
-3.224 -0.198 -0.027
O Pr
3 2
direct
0.000 0.492 0.000
0.508 0.508 0.000
0.492 0.000 0.000
0.667 0.333 0.500
0.333 0.667 0.500

***

(4)
PBE LiCuTePbSe2, relaxed; energy = -21.52 eV/f.u.; space-group type = Cmcm, No. 63; theoretical density = 6.39 Mg/m³
1.0
1.943 -6.305 0.000
1.943 6.305 0.000
0.000 0.000 11.954
Se Pb Te Li Cu
4 2 2 2 2
direct
0.155 0.845 0.591
0.845 0.155 0.409
0.845 0.155 0.091
0.155 0.845 0.909
0.500 0.500 0.000
0.500 0.500 0.500
0.399 0.601 0.750
0.601 0.399 0.250
0.698 0.302 0.750
0.302 0.698 0.250
0.036 0.964 0.750
0.964 0.036 0.250

***

Q: The lowest energy belongs to which entry?
A: Pr2O3

***

Q: What is the energy in the third record?
A: -39.91 eV/f.u.

***

Q: Which of these has the lowest energy?
A: Pr2O3